Below is Cs3AuCl after structural relaxation, with properties calculated at the PBE level.

Unit cell a=8.820 b=5.094 c=13.395 alpha=90.00 beta=102.16 gamma=90.00
Space group P2_1/m (No. 11)
Unique sites:
Cs: 0.020 0.250 0.342 [2 per cell]
Cs: 0.264 0.250 0.993 [2 per cell]
Cs: 0.457 0.250 0.651 [2 per cell]
Au: 0.365 0.750 0.823 [2 per cell]
Cl: 0.238 0.750 0.484 [2 per cell]

## Properties
ρ (g cm⁻³): 3.563
Electronic total energy (eV/atom): -2.43